P:
Computed, not measured: a relaxed YAs3F crystal at the PBE-GGA level of DFT.

Crystal system: cubic
Space-group type: Pm-3m
Total magnetization: 0.000 μB/f.u.
DOS(E_F): 4.41 states/eV/f.u.

Unit cell a=5.400 b=5.400 c=5.400 alpha=90.00 beta=90.00 gamma=90.00
Positions (direct):
1 Y 0.000 0.000 0.000
2 As 0.500 0.000 0.000
3 As 0.000 0.000 0.500
4 As 0.000 0.500 0.000
5 F 0.500 0.500 0.500

***

Q:
Computed, not measured: a relaxed YAs3F crystal at the PBE-GGA level of DFT.

Crystal system: cubic
Space-group type: Pm-3m
Total magnetization: 0.000 μB/f.u.
DOS(E_F): 2.88 states/eV/f.u.

Unit cell a=4.604 b=4.604 c=4.604 alpha=90.00 beta=90.00 gamma=90.00
Positions (direct):
1 As 0.000 0.500 0.000
2 As 0.500 0.000 0.000
3 As 0.000 0.000 0.500
4 F 0.000 0.000 0.000
5 Y 0.500 0.500 0.500

***

Order from most stable to least stable according to the calculation: Q, P

***

P:
Computed, not measured: a relaxed YAsF crystal at the PBE-GGA level of DFT.

Crystal system: triclinic
Space-group type: P-1
Total magnetization: 0.000 μB/f.u.

Unit cell a=4.647 b=7.216 c=5.530 alpha=67.36 beta=61.15 gamma=80.98
Positions (direct):
1 Y 0.497 0.730 0.645
2 Y 0.503 0.270 0.355
3 As 0.006 0.459 0.746
4 As 0.994 0.541 0.254
5 F 0.612 0.007 0.670
6 F 0.388 0.993 0.330

***

Q:
Computed, not measured: a relaxed YAsF crystal at the PBE-GGA level of DFT.

Crystal system: hexagonal
Space-group type: P-6m2
Total magnetization: 0.000 μB/f.u.
DOS(E_F): 1.39 states/eV/f.u.

Unit cell a=4.373 b=3.913 c=3.913 alpha=120.00 beta=90.00 gamma=90.00
Positions (direct):
1 F 0.167 0.333 0.667
2 Y 0.167 0.000 0.000
3 As 0.667 0.667 0.333

***

R:
Computed, not measured: a relaxed YAsF crystal at the PBE-GGA level of DFT.

Crystal system: monoclinic
Space-group type: C2/m
Total magnetization: 0.000 μB/f.u.
DOS(E_F): 0.82 states/eV/f.u.

Unit cell a=3.878 b=4.985 c=7.644 alpha=106.72 beta=90.00 gamma=112.89
Positions (direct):
1 Y 0.665 0.330 0.769
2 Y 0.335 0.670 0.231
3 F 0.846 0.693 0.065
4 F 0.154 0.307 0.935
5 As 0.663 0.326 0.378
6 As 0.337 0.674 0.622

***

Order from most stable to least stable according to the calculation: P, R, Q

***

P:
Computed, not measured: a relaxed Y2AsF crystal at the PBE-GGA level of DFT.

Crystal system: tetragonal
Space-group type: I-42d
Total magnetization: 0.000 μB/f.u.
DOS(E_F): 2.81 states/eV/f.u.

Unit cell a=5.853 b=5.853 c=7.324 alpha=66.45 beta=66.45 gamma=90.00
Positions (direct):
1 Y 0.875 0.829 0.750
2 Y 0.171 0.625 0.250
3 Y 0.375 0.421 0.750
4 Y 0.579 0.125 0.250
5 F 0.500 0.500 0.000
6 F 0.250 0.750 0.500
7 As 0.750 0.250 0.500
8 As 0.000 0.000 0.000

***

Q:
Computed, not measured: a relaxed Y2AsF crystal at the PBE-GGA level of DFT.

Crystal system: cubic
Space-group type: Fm-3m
Total magnetization: 1.218 μB/f.u.
DOS(E_F): 2.55 states/eV/f.u.

Unit cell a=4.844 b=4.844 c=4.844 alpha=60.00 beta=60.00 gamma=60.00
Last column: magnetic moment on the atom in μB.
Positions (direct):
1 F 0.000 0.000 0.000  0.01
2 As 0.500 0.500 0.500  -0.02
3 Y 0.750 0.750 0.750  0.39
4 Y 0.250 0.250 0.250  0.39

***

Order from most stable to least stable according to the calculation: Q, P

***

P:
Computed, not measured: a relaxed ZnAsF3 crystal at the PBE-GGA level of DFT.

Crystal system: cubic
Space-group type: Pm-3m
Total magnetization: 0.000 μB/f.u.
DOS(E_F): 1.01 states/eV/f.u.

Unit cell a=4.278 b=4.278 c=4.278 alpha=90.00 beta=90.00 gamma=90.00
Positions (direct):
1 F 0.500 0.000 0.000
2 F 0.000 0.500 0.000
3 F 0.000 0.000 0.500
4 Zn 0.500 0.500 0.500
5 As 0.000 0.000 0.000

***

Q:
Computed, not measured: a relaxed ZnAsF3 crystal at the PBE-GGA level of DFT.

Crystal system: cubic
Space-group type: Pm-3m
Total magnetization: 0.000 μB/f.u.
DOS(E_F): 3.65 states/eV/f.u.

Unit cell a=4.096 b=4.096 c=4.096 alpha=90.00 beta=90.00 gamma=90.00
Positions (direct):
1 F 0.500 0.000 0.000
2 F 0.000 0.500 0.000
3 F 0.000 0.000 0.500
4 As 0.500 0.500 0.500
5 Zn 0.000 0.000 0.000

***

Order from most stable to least stable according to the calculation: Q, P

***

P:
Computed, not measured: a relaxed Zn2AsF crystal at the PBE-GGA level of DFT.

Crystal system: tetragonal
Space-group type: I-42d
Total magnetization: 0.000 μB/f.u.
DOS(E_F): 0.02 states/eV/f.u.

Unit cell a=5.157 b=5.157 c=6.931 alpha=68.16 beta=68.16 gamma=90.00
Positions (direct):
1 Zn 0.142 0.625 0.250
2 Zn 0.375 0.392 0.750
3 Zn 0.608 0.125 0.250
4 Zn 0.875 0.858 0.750
5 F 0.250 0.750 0.500
6 F 0.500 0.500 0.000
7 As 0.750 0.250 0.500
8 As 0.000 0.000 0.000

***

Q:
Computed, not measured: a relaxed Zn2AsF crystal at the PBE-GGA level of DFT.

Crystal system: cubic
Space-group type: Fm-3m
Total magnetization: 0.000 μB/f.u.
DOS(E_F): 0.37 states/eV/f.u.

Unit cell a=4.376 b=4.376 c=4.376 alpha=60.00 beta=60.00 gamma=60.00
Positions (direct):
1 As 0.500 0.500 0.500
2 Zn 0.750 0.750 0.750
3 Zn 0.250 0.250 0.250
4 F 0.000 0.000 0.000

***

Order from most stable to least stable according to the calculation: P, Q

***

P:
Computed, not measured: a relaxed Zr2AsF crystal at the PBE-GGA level of DFT.

Crystal system: tetragonal
Space-group type: I-42d
Total magnetization: 0.000 μB/f.u.
DOS(E_F): 2.31 states/eV/f.u.

Unit cell a=6.778 b=6.778 c=5.726 alpha=53.71 beta=53.71 gamma=90.00
Positions (direct):
1 F 0.250 0.750 0.500
2 F 0.500 0.500 0.000
3 Zr 0.375 0.448 0.750
4 Zr 0.198 0.625 0.250
5 Zr 0.875 0.802 0.750
6 Zr 0.552 0.125 0.250
7 As 0.000 0.000 0.000
8 As 0.750 0.250 0.500

***

Q:
Computed, not measured: a relaxed Zr2AsF crystal at the PBE-GGA level of DFT.

Crystal system: cubic
Space-group type: Fm-3m
Total magnetization: 0.000 μB/f.u.
DOS(E_F): 6.39 states/eV/f.u.

Unit cell a=4.589 b=4.589 c=4.589 alpha=60.00 beta=60.00 gamma=60.00
Positions (direct):
1 Zr 0.750 0.750 0.750
2 Zr 0.250 0.250 0.250
3 As 0.500 0.500 0.500
4 F 0.000 0.000 0.000

***

Order from most stable to least stable according to the calculation: Q, P

***

P:
Computed, not measured: a relaxed ZrAsF3 crystal at the PBE-GGA level of DFT.

Crystal system: cubic
Space-group type: Pm-3m
Total magnetization: 2.683 μB/f.u.
DOS(E_F): 2.64 states/eV/f.u.

Unit cell a=4.330 b=4.330 c=4.330 alpha=90.00 beta=90.00 gamma=90.00
Last column: magnetic moment on the atom in μB.
Positions (direct):
1 As 0.500 0.500 0.500  0.88
2 F 0.000 0.500 0.000  0.05
3 F 0.500 0.000 0.000  0.10
4 F 0.000 0.000 0.500  0.08
5 Zr 0.000 0.000 0.000  0.42

***

Q:
Computed, not measured: a relaxed ZrAsF3 crystal at the PBE-GGA level of DFT.

Crystal system: cubic
Space-group type: Pm-3m
Total magnetization: 2.264 μB/f.u.
DOS(E_F): 4.25 states/eV/f.u.

Unit cell a=4.418 b=4.418 c=4.418 alpha=90.00 beta=90.00 gamma=90.00
Last column: magnetic moment on the atom in μB.
Positions (direct):
1 F 0.000 0.500 0.000  0.04
2 F 0.000 0.000 0.500  0.04
3 F 0.500 0.000 0.000  0.01
4 Zr 0.500 0.500 0.500  1.55
5 As 0.000 0.000 0.000  -0.10

***

Order from most stable to least stable according to the calculation: P, Q

***

P:
Computed, not measured: a relaxed FeAs5 crystal at the PBE-GGA level of DFT.

Crystal system: hexagonal
Space-group type: P6/mmm
Total magnetization: 3.378 μB/f.u.
DOS(E_F): 3.83 states/eV/f.u.

Unit cell a=5.328 b=5.328 c=5.019 alpha=90.00 beta=90.00 gamma=120.00
Last column: magnetic moment on the atom in μB.
Positions (direct):
1 As 0.500 0.500 0.500  0.03
2 As 0.500 0.000 0.500  0.03
3 As 0.000 0.500 0.500  0.03
4 As 0.333 0.667 0.000  -0.04
5 As 0.667 0.333 0.000  -0.04
6 Fe 0.000 0.000 0.000  3.21

***

Q:
Computed, not measured: a relaxed FeAs5 crystal at the PBE-GGA level of DFT.

Crystal system: cubic
Space-group type: F-43m
Total magnetization: 3.326 μB/f.u.
DOS(E_F): 5.21 states/eV/f.u.

Unit cell a=5.492 b=5.492 c=5.492 alpha=60.00 beta=60.00 gamma=60.00
Last column: magnetic moment on the atom in μB.
Positions (direct):
1 As 0.625 0.625 0.625  0.00
2 As 0.625 0.124 0.625  0.00
3 As 0.625 0.625 0.124  0.00
4 As 0.250 0.250 0.250  0.01
5 As 0.124 0.625 0.625  0.00
6 Fe 0.000 0.000 0.000  3.19

***

Order from most stable to least stable according to the calculation: P, Q